Entry 1:
! SmHoInAg | Alexandria via LeMat-Bulk | PBE | optimized geometry; values from VASP
! DOS at the Fermi energy = 3.69 states/eV/f.u.
! Total DFT energy (no corrections) = -4.106 eV/atom
! ΔH_f (0 K) = -0.385 eV/atom
! V = 105.1 Å³ per cell
&SYSTEM
  ibrav = 0, nat = 4, ntyp = 4
/
ATOMIC_SPECIES
Ag 107.87 Ag.upf
Ho 164.93 Ho.upf
Sm 150.36 Sm.upf
In 114.82 In.upf
ATOMIC_POSITIONS crystal
Ag 0.250 0.250 0.250
Ho 0.000 0.000 0.000
Sm 0.500 0.500 0.500
In 0.750 0.750 0.750
CELL_PARAMETERS angstrom
5.297 0.000 0.000
2.648 4.587 0.000
2.648 1.529 4.325

=====

Entry 2:
! LaFeCoC2 | Alexandria via LeMat-Bulk | PBE | optimized geometry; values from VASP
! DOS at the Fermi energy = 1.57 states/eV/f.u.
! Total DFT energy (no corrections) = -8.004 eV/atom
! ΔH_f (0 K) = -0.215 eV/atom
! V = 61.6 Å³ per cell
&SYSTEM
  ibrav = 0, nat = 5, ntyp = 4
/
ATOMIC_SPECIES
La 138.91 La.upf
Fe 55.84 Fe.upf
Co 58.93 Co.upf
C 12.01 C.upf
ATOMIC_POSITIONS crystal
La 0.000 0.000 0.000
Fe 0.750 0.250 0.500
Co 0.250 0.750 0.500
C 0.662 0.662 0.325
C 0.338 0.338 0.675
CELL_PARAMETERS angstrom
-0.121 -2.073 2.723
3.422 -0.107 0.071
-1.587 5.267 1.786

=====

Entry 3:
! Nb6PbS12 | Alexandria via LeMat-Bulk | PBE | optimized geometry; values from VASP
! DOS at the Fermi energy = 14.46 states/eV/f.u.
! Raw formation energy = -0.548 eV per atom
! Total DFT energy (no corrections) = -6.530 eV/atom
! V = 375.3 Å³ per cell
&SYSTEM
  ibrav = 0, nat = 19, ntyp = 3
/
ATOMIC_SPECIES
Nb 92.91 Nb.upf
Pb 207.20 Pb.upf
S 32.06 S.upf
ATOMIC_POSITIONS crystal
Nb 0.641 0.245 0.245
Nb 0.245 0.245 0.641
Nb 0.245 0.641 0.245
Nb 0.755 0.755 0.359
Nb 0.359 0.755 0.755
Nb 0.755 0.359 0.755
Pb 0.000 0.000 0.000
S 0.873 0.127 0.500
S 0.825 0.540 0.540
S 0.540 0.540 0.825
S 0.460 0.175 0.460
S 0.460 0.460 0.175
S 0.175 0.460 0.460
S 0.127 0.500 0.873
S 0.500 0.873 0.127
S 0.127 0.873 0.500
S 0.873 0.500 0.127
S 0.500 0.127 0.873
S 0.540 0.825 0.540
CELL_PARAMETERS angstrom
7.466 0.058 0.082
-1.794 7.248 0.082
-1.794 -2.311 6.870

=====

Entry 4:
! NpBO5 | Alexandria via LeMat-Bulk | PBE | optimized geometry; values from VASP
! Raw formation energy = -2.315 eV per atom
! Total DFT energy (no corrections) = -8.659 eV/atom
! V = 187.4 Å³ per cell
&SYSTEM
  ibrav = 0, nat = 14, ntyp = 3
/
ATOMIC_SPECIES
Np 237.00 Np.upf
B 10.81 B.upf
O 16.00 O.upf
ATOMIC_POSITIONS crystal
Np 0.999 0.001 0.999
Np 0.999 0.501 0.499
B 0.633 0.385 0.749
B 0.366 0.618 0.249
O 0.918 0.171 0.249
O 0.080 0.832 0.749
O 0.666 0.639 0.341
O 0.295 0.827 0.157
O 0.252 0.346 0.098
O 0.245 0.656 0.400
O 0.746 0.657 0.900
O 0.753 0.347 0.598
O 0.703 0.176 0.841
O 0.332 0.363 0.657
CELL_PARAMETERS angstrom
4.967 0.361 -1.699
-0.977 4.928 -1.564
-0.404 -0.096 7.709

=====

Entry 5:
! NpI6 | Alexandria via LeMat-Bulk | PBE | optimized geometry; values from VASP
! Raw formation energy = -0.514 eV per atom
! Total DFT energy (no corrections) = -3.691 eV/atom
! V = 1438.3 Å³ per cell
&SYSTEM
  ibrav = 0, nat = 28, ntyp = 2
/
ATOMIC_SPECIES
Np 237.00 Np.upf
I 126.90 I.upf
ATOMIC_POSITIONS crystal
Np 0.086 0.250 0.629
Np 0.914 0.750 0.371
Np 0.586 0.750 0.871
Np 0.414 0.250 0.129
I 0.784 0.250 0.509
I 0.216 0.750 0.491
I 0.284 0.750 0.991
I 0.716 0.250 0.009
I 0.387 0.250 0.749
I 0.613 0.750 0.251
I 0.887 0.750 0.751
I 0.113 0.250 0.249
I 0.244 0.404 0.515
I 0.756 0.596 0.485
I 0.744 0.596 0.985
I 0.756 0.904 0.485
I 0.256 0.404 0.015
I 0.244 0.096 0.515
I 0.256 0.096 0.015
I 0.744 0.904 0.985
I 0.928 0.404 0.745
I 0.072 0.596 0.255
I 0.428 0.596 0.755
I 0.072 0.904 0.255
I 0.572 0.404 0.245
I 0.928 0.096 0.745
I 0.572 0.096 0.245
I 0.428 0.904 0.755
CELL_PARAMETERS angstrom
7.653 0.000 0.000
0.000 13.201 0.000
0.000 0.000 14.236

=====

Entry 6:
! Sm8Hg2Ru | Alexandria via LeMat-Bulk | PBE | optimized geometry; values from VASP
! DOS at the Fermi energy = 9.60 states/eV/f.u.
! Total DFT energy (no corrections) = -4.555 eV/atom
! ΔH_f (0 K) = -0.225 eV/atom
! V = 322.0 Å³ per cell
&SYSTEM
  ibrav = 0, nat = 11, ntyp = 3
/
ATOMIC_SPECIES
Sm 150.36 Sm.upf
Hg 200.59 Hg.upf
Ru 101.07 Ru.upf
ATOMIC_POSITIONS crystal
Sm 0.412 0.570 0.824
Sm 0.652 0.958 0.305
Sm 0.801 0.698 0.602
Sm 0.976 0.214 0.953
Sm 0.199 0.302 0.398
Sm 0.348 0.042 0.695
Sm 0.588 0.430 0.176
Sm 0.024 0.786 0.047
Hg 0.812 0.274 0.623
Hg 0.188 0.726 0.377
Ru 0.500 0.000 0.000
CELL_PARAMETERS angstrom
5.325 0.000 0.000
0.000 6.984 0.247
-2.662 -2.702 8.563

=====

Entry 7:
! Ca4ZnBi3 | Alexandria via LeMat-Bulk | PBE | optimized geometry; values from VASP
! DOS at the Fermi energy = 2.45 states/eV/f.u.
! Total DFT energy (no corrections) = -3.215 eV/atom
! ΔH_f (0 K) = -0.600 eV/atom
! V = 493.0 Å³ per cell
&SYSTEM
  ibrav = 0, nat = 16, ntyp = 3
/
ATOMIC_SPECIES
Ca 40.08 Ca.upf
Zn 65.41 Zn.upf
Bi 208.98 Bi.upf
ATOMIC_POSITIONS crystal
Ca 0.424 0.299 0.852
Ca 0.576 0.701 0.148
Ca 0.723 0.852 0.701
Ca 0.076 0.148 0.701
Ca 0.277 0.148 0.299
Ca 0.924 0.852 0.299
Ca 0.777 0.299 0.148
Ca 0.223 0.701 0.852
Zn 0.750 0.500 0.500
Zn 0.250 0.500 0.500
Bi 0.750 0.000 0.000
Bi 0.250 0.000 0.000
Bi 0.335 0.829 0.500
Bi 0.665 0.171 0.500
Bi 0.165 0.500 0.171
Bi 0.835 0.500 0.829
CELL_PARAMETERS angstrom
6.119 0.000 2.167
3.059 8.715 1.083
0.150 0.000 9.298

=====

Entry 8:
! Sm6YTm2 | Alexandria via LeMat-Bulk | PBE | optimized geometry; values from VASP
! DOS at the Fermi energy = 12.86 states/eV/f.u.
! Total DFT energy (no corrections) = -4.839 eV/atom
! ΔH_f (0 K) = 0.019 eV/atom
! V = 294.8 Å³ per cell
&SYSTEM
  ibrav = 0, nat = 9, ntyp = 3
/
ATOMIC_SPECIES
Sm 150.36 Sm.upf
Y 88.91 Y.upf
Tm 168.93 Tm.upf
ATOMIC_POSITIONS crystal
Sm 0.890 0.553 0.219
Sm 0.110 0.447 0.781
Sm 0.667 0.668 0.669
Sm 0.779 0.108 0.442
Sm 0.221 0.892 0.558
Sm 0.333 0.332 0.331
Y 0.000 0.000 0.000
Tm 0.445 0.777 0.110
Tm 0.555 0.223 0.890
CELL_PARAMETERS angstrom
3.574 0.316 0.230
-0.144 6.111 -6.325
0.921 0.714 12.876

=====

Which value of V does entry 3 give? 375.3 Å³ per cell

=====

Look up the V of the fifth one. 1438.3 Å³ per cell

=====

Look up the total DFT energy (no corrections) of the second one. -8.004 eV/atom